Entry from Alexandria: a relaxed Mn2GeF crystal (PBE+U).

```
data_Mn2GeF
_chemical_formula_sum 'Mn8 Ge4 F4'
_space_group_name_H-M_alt 'F m -3 m'
_space_group_IT_number 225
_space_group_name_Hall '-F 4 2 3'
_cell_length_a 6.3692
_cell_length_b 6.3692
_cell_length_c 6.3692
_cell_angle_alpha 90.00
_cell_angle_beta 90.00
_cell_angle_gamma 90.00
loop_
_atom_site_label
_atom_site_type_symbol
_atom_site_fract_x
_atom_site_fract_y
_atom_site_fract_z
Mn1 Mn 0.2500 0.2500 0.2500
Ge1 Ge 0.0000 0.0000 0.0000
F1 F 0.0000 0.0000 0.5000
```

Values from the calculation:
**Energy above the lowest structure with this stoichiometry**: 120.1 meV/atom